(1)
First-principles (GGA-PBEsol) data for a relaxed structure of BeCoSCl2, as listed in Alexandria.

Cell: 4.1488 4.1488 4.8968 Å, 90.00 90.00 90.00°
Closest atoms and distances in Å follow each position.
Fractional coordinates of all 5 atoms:
1 Be 0.0000 0.0000 0.0000  4 Cl 2.07
2 Co 0.5000 0.5000 0.5000  4 S 2.93, 8 Cl 3.21
3 S 0.0000 0.0000 0.5000  2 Be 2.45
4 Cl 0.0000 0.5000 0.0000  2 Be 2.07
5 Cl 0.5000 0.0000 0.0000  2 Be 2.07

Summary:
Energy, eV per atom: -3.823
Energy relative to the elements, uncorrected, eV per atom: 0.204

---

(2)
First-principles (GGA-PBEsol) data for a relaxed structure of BeCoS2Cl, as listed in Alexandria.

Cell: 4.2175 4.2175 4.4483 Å, 90.00 90.00 90.00°
Closest atoms and distances in Å follow each position.
Fractional coordinates of all 5 atoms:
1 Be 0.0000 0.0000 0.0000  4 S 2.11, 2 Cl 2.22
2 Co 0.5000 0.5000 0.5000  4 Cl 2.98, 8 S 3.06
3 S 0.0000 0.5000 0.0000  2 Be 2.11
4 S 0.5000 0.0000 0.0000  2 Be 2.11
5 Cl 0.0000 0.0000 0.5000  2 Be 2.22

Summary:
Energy, eV per atom: -4.057
Energy relative to the elements, uncorrected, eV per atom: 0.446

---

(3)
First-principles (GGA-PBEsol) data for a relaxed structure of BeCrCl2, as listed in Alexandria.

Cell: 8.2002 8.2002 8.2002 Å, 21.48 21.48 21.48°
Closest atoms and distances in Å follow each position.
Fractional coordinates of all 4 atoms:
1 Be 0.0000 0.0000 0.0000  3 Cl 2.16
2 Cr 0.7476 0.7476 0.7476  3 Cl 2.26
3 Cl 0.2814 0.2814 0.2814  3 Be 2.16
4 Cl 0.4731 0.4731 0.4731  3 Cr 2.26

Summary:
Energy, eV per atom: -4.880
Energy relative to the elements, uncorrected, eV per atom: -0.315
Offset from the most stable computed form, meV/atom: 45

---

(4)
First-principles (GGA-PBEsol) data for a relaxed structure of BeCrCl2, as listed in Alexandria.

Cell: 3.2087 3.2087 6.1361 Å, 90.00 90.00 90.00°
Closest atoms and distances in Å follow each position.
Fractional coordinates of all 4 atoms:
1 Be 0.0000 0.0000 0.0000  8 Cl 2.74, 2 Cr 3.07
2 Cr 0.0000 0.0000 0.5000  8 Cl 2.74
3 Cl 0.5000 0.5000 0.2508  4 Cr 2.74, 4 Be 2.74, 1 Cl 3.06
4 Cl 0.5000 0.5000 0.7492  4 Cr 2.74, 4 Be 2.74, 1 Cl 3.06

Summary:
Energy, eV per atom: -4.174
Energy relative to the elements, uncorrected, eV per atom: 0.391
Offset from the most stable computed form, meV/atom: 752

---

(5)
First-principles (GGA-PBEsol) data for a relaxed structure of BeCr2Cl, as listed in Alexandria.

Cell: 3.8336 3.8336 6.4843 Å, 116.71 116.71 50.62°
Closest atoms and distances in Å follow each position.
Fractional coordinates of all 4 atoms:
1 Be 0.0000 0.0000 0.0000  6 Cr 2.19-2.23
2 Cr 0.3605 0.3605 0.1096  3 Be 2.19-2.23, 2 Cr 2.21, 1 Cl 2.22
3 Cr 0.6395 0.6395 0.8904  3 Be 2.19-2.23, 2 Cr 2.21, 1 Cl 2.22
4 Cl 0.5000 0.5000 0.5000  2 Cr 2.22

Summary:
Energy, eV per atom: -6.240
Energy relative to the elements, uncorrected, eV per atom: 0.383
Offset from the most stable computed form, meV/atom: 38

---

(6)
First-principles (GGA-PBEsol) data for a relaxed structure of BeCrCl, as listed in Alexandria.

Cell: 3.8514 3.8514 2.8428 Å, 90.00 90.00 120.00°
Closest atoms and distances in Å follow each position.
Fractional coordinates of all 3 atoms:
1 Be 0.0000 0.0000 0.0000  6 Cl 2.64, 6 Cr 2.64, 2 Be 2.84
2 Cr 0.3333 0.6667 0.5000  3 Cl 2.22
3 Cl 0.6667 0.3333 0.5000  3 Cr 2.22

Summary:
Energy, eV per atom: -4.760
Energy relative to the elements, uncorrected, eV per atom: 0.657

---

(7)
First-principles (GGA-PBEsol) data for a relaxed structure of BeCrCl2, as listed in Alexandria.

Cell: 2.9454 2.9454 6.8856 Å, 90.00 90.00 90.00°
Closest atoms and distances in Å follow each position.
Fractional coordinates of all 4 atoms:
1 Be 0.0000 0.0000 0.0000  4 Cl 2.37, 4 Cr 2.46
2 Cr 0.5000 0.5000 0.8112  5 Cl 2.43-2.54, 4 Be 2.46
3 Cl 0.0000 0.0000 0.6007  4 Cr 2.54, 1 Be 2.75
4 Cl 0.5000 0.5000 0.1644  4 Be 2.37, 1 Cr 2.43

Summary:
Energy, eV per atom: -4.634
Energy relative to the elements, uncorrected, eV per atom: -0.070
Offset from the most stable computed form, meV/atom: 291

---

(8)
First-principles (GGA-PBEsol) data for a relaxed structure of BeCrCl2, as listed in Alexandria.

Cell: 3.0850 3.0850 8.0872 Å, 101.66 101.66 60.01°
Closest atoms and distances in Å follow each position.
Fractional coordinates of all 4 atoms:
1 Be 0.0000 0.0000 0.0000  3 Cl 2.16
2 Cr 0.4155 0.4155 0.2316  3 Cl 2.28, 3 Be 2.55
3 Cl 0.2787 0.2787 0.8452  3 Be 2.16
4 Cl 0.8128 0.8128 0.4128  3 Cr 2.28

Summary:
Energy, eV per atom: -4.925
Energy relative to the elements, uncorrected, eV per atom: -0.361
Offset from the most stable computed form, meV/atom: 0

---

(9)
First-principles (GGA-PBEsol) data for a relaxed structure of BeCr2Cl, as listed in Alexandria.

Cell: 2.7927 2.7927 7.6235 Å, 90.00 90.00 117.59°
Closest atoms and distances in Å follow each position.
Fractional coordinates of all 4 atoms:
1 Be 0.0000 0.0000 0.0000  2 Cl 2.04
2 Cr 0.0000 0.0000 0.5449  2 Cr 2.13
3 Cr 0.5000 0.5000 0.7500  2 Cr 2.13
4 Cl 0.5000 0.5000 0.1882  2 Be 2.04

Summary:
Energy, eV per atom: -6.278
Energy relative to the elements, uncorrected, eV per atom: 0.345
Offset from the most stable computed form, meV/atom: 0

---

(10)
First-principles (GGA-PBEsol) data for a relaxed structure of BeCrS2Cl, as listed in Alexandria.

Cell: 4.5105 4.5105 4.5429 Å, 90.00 90.00 90.00°
Closest atoms and distances in Å follow each position.
Fractional coordinates of all 5 atoms:
1 Be 0.0000 0.0000 0.0000  4 Cl 3.19, 8 S 3.20
2 Cr 0.5000 0.5000 0.5000  4 S 2.26, 2 Cl 2.27
3 S 0.0000 0.5000 0.5000  2 Cr 2.26
4 S 0.5000 0.0000 0.5000  2 Cr 2.26
5 Cl 0.5000 0.5000 0.0000  2 Cr 2.27

Summary:
Energy, eV per atom: -4.693
Energy relative to the elements, uncorrected, eV per atom: 0.310

---

(11)
First-principles (GGA-PBEsol) data for a relaxed structure of CsBe2Cl, as listed in Alexandria.

Cell: 5.4840 5.4840 5.4840 Å, 60.00 60.00 60.00°
Closest atoms and distances in Å follow each position.
Fractional coordinates of all 4 atoms:
1 Cs 0.0000 0.0000 0.0000  8 Be 3.36
2 Be 0.2500 0.2500 0.2500  4 Cl 3.36, 4 Cs 3.36
3 Be 0.7500 0.7500 0.7500  4 Cs 3.36, 4 Cl 3.36
4 Cl 0.5000 0.5000 0.5000  8 Be 3.36

Summary:
Energy, eV per atom: -1.775
Energy relative to the elements, uncorrected, eV per atom: 0.963

---

(12)
First-principles (GGA-PBEsol) data for a relaxed structure of CsBeS2Cl, as listed in Alexandria.

Cell: 5.2378 5.2378 6.1441 Å, 90.00 90.00 90.00°
Closest atoms and distances in Å follow each position.
Fractional coordinates of all 5 atoms:
1 Cs 0.0000 0.0000 0.0000  4 S 2.62
2 Be 0.5000 0.5000 0.5000  4 Cl 3.70, 8 S 4.04
3 S 0.0000 0.5000 0.0000  2 Cs 2.62
4 S 0.5000 0.0000 0.0000  2 Cs 2.62
5 Cl 0.0000 0.0000 0.5000  2 Cs 3.07

Summary:
Energy, eV per atom: -1.864
Energy relative to the elements, uncorrected, eV per atom: 1.279